Crystalline Tm3Zn2InCuIr2 at its relaxed geometry, computed with PBE.

a = 3.759 Å, b = 7.261 Å, c = 7.261 Å
α = 119.65°, β = 90.00°, γ = 90.00°
Fractional positions:
Ir (0.500, 0.336, 0.672)
Ir (0.500, 0.672, 0.336)
Cu (0.000, 0.987, 0.987)
Tm (0.000, 0.997, 0.418)
Tm (0.000, 0.418, 0.997)
Tm (0.000, 0.597, 0.597)
In (0.500, 0.245, 0.245)
Zn (0.500, 0.748, 0.000)
Zn (0.500, 0.000, 0.748)

Computed properties:
- Calculated density: 11.57 Mg/m³
- DFT total energy: -5.07 eV/atom
- Space-group type: Amm2, No. 38